# 1
Below is a geometry-optimized Ba4Sr structure, with properties calculated at the GGA-PBE level.

Cell: 7.156 7.156 7.156 Å, 90.00 90.00 90.00°
Space group Pm-3m (No. 221)
Inequivalent atoms, fractional coordinates:
Ba  0.000  0.000  0.000
Ba  0.000  0.500  0.500
Sr  0.500  0.500  0.500

## Properties
Distance to the lowest polymorph of the same formula ... 440.1 meV per atom

***

# 2
Below is a geometry-optimized Ba2Sr structure, with properties calculated at the GGA-PBE level.

Cell: 12.1325 12.1325 4.2946 Å, 90.00 90.00 120.00°
Space group P-62m (No. 189)
Inequivalent atoms, fractional coordinates:
Ba  0.0000  0.3103  0.0000
Ba  0.0000  0.6450  0.5000
Sr  0.0000  0.0000  0.5000
Sr  0.3333  0.6667  0.0000

## Properties
Distance to the lowest polymorph of the same formula ... 27.9 meV per atom

***

# 3
Below is a geometry-optimized Ba2Sr structure, with properties calculated at the GGA-PBE level.

Cell: 4.225 4.225 41.332 Å, 90.00 90.00 90.00°
Space group I4_1/amd (No. 141, origin choice 2)
Inequivalent atoms, fractional coordinates:
Ba  0.000  0.250  0.295
Sr  0.000  0.250  0.875

## Properties
Distance to the lowest polymorph of the same formula ... 79.7 meV per atom

***

| no. | DFT total energy (eV/atom) |
| --- | --- |
| 1 | -1.433 |
| 2 | -1.813 |
| 3 | -1.761 |